[1]
Below is crystalline FeTcSe2 at its relaxed geometry, with properties calculated at the PBE-GGA level.

abc: 5.5637 5.5637 10.7416
angles: 90.00 90.00 90.00
Space group I-42d (No. 122)
Inequivalent atoms, fractional coordinates:
Fe 0.0000 0.0000 0.0000
Tc 0.0000 0.0000 0.5000
Se 0.2411 0.2500 0.1250

Values from the calculation:
* DFT total energy: -25.21 eV per formula unit
* density of states at the Fermi level: 1.352 states/eV/atom
* excess energy over the best structure of this formula in the dataset: 1.52 eV per formula unit
* magnetization: 1.757 μB per formula unit
* crystal system: tetragonal

[2]
Below is crystalline ReSiOs2 at its relaxed geometry, with properties calculated at the PBE-GGA level.

abc: 2.8269 3.8648 5.2427
angles: 90.00 90.00 90.00
Space group Pmm2 (No. 25)
Inequivalent atoms, fractional coordinates:
Re 0.0000 0.0000 0.0000
Si 0.5000 0.5000 0.2919
Os 0.0000 0.0000 0.4773
Os 0.5000 0.5000 0.7983

Values from the calculation:
* DFT total energy: -39.96 eV per formula unit
* density of states at the Fermi level: 0.749 states/eV/atom
* magnetization: 0.000 μB per formula unit
* crystal system: orthorhombic

[3]
Below is crystalline TcSN2F at its relaxed geometry, with properties calculated at the PBE-GGA level.

abc: 3.5704 3.5704 4.6088
angles: 90.00 90.00 90.00
Space group P4/mmm (No. 123)
Inequivalent atoms, fractional coordinates:
Tc 0.0000 0.0000 0.0000
S 0.5000 0.5000 0.5000
N 0.0000 0.5000 0.5000
F 0.5000 0.5000 0.0000

Values from the calculation:
* DFT total energy: -26.00 eV per formula unit
* density of states at the Fermi level: 0.328 states/eV/atom
* excess energy over the best structure of this formula in the dataset: 4.14 eV per formula unit
* magnetization: 4.622 μB per formula unit
* crystal system: tetragonal

[4]
Below is crystalline BaGa6Ge2 at its relaxed geometry, with properties calculated at the PBE-GGA level.

abc: 4.8480 4.8480 8.5014
angles: 90.00 90.00 90.00
Space group P4/mmm (No. 123)
Inequivalent atoms, fractional coordinates:
Ba 0.0000 0.0000 0.0000
Ga 0.0000 0.0000 0.5000
Ga 0.0000 0.5000 0.3198
Ga 0.5000 0.5000 0.5000
Ge 0.5000 0.5000 0.1531

Values from the calculation:
* DFT total energy: -30.67 eV per formula unit
* density of states at the Fermi level: 0.506 states/eV/atom
* magnetization: 0.000 μB per formula unit
* crystal system: tetragonal
* calculated formation energy: -151 meV per atom

[5]
Below is crystalline LiNd2Si3Pd4 at its relaxed geometry, with properties calculated at the PBE-GGA level.

abc: 4.2517 4.2517 9.9763
angles: 90.00 90.00 90.00
Space group P-4m2 (No. 115)
Inequivalent atoms, fractional coordinates:
Li 0.0000 0.0000 0.0000
Nd 0.0000 0.5000 0.7522
Si 0.0000 0.5000 0.3685
Si 0.5000 0.5000 0.0000
Pd 0.0000 0.0000 0.5000
Pd 0.0000 0.5000 0.1261
Pd 0.5000 0.5000 0.5000

Values from the calculation:
* DFT total energy: -57.15 eV per formula unit
* density of states at the Fermi level: 0.650 states/eV/atom
* magnetization: 0.000 μB per formula unit
* crystal system: tetragonal

[6]
Below is crystalline P3Ir2Au at its relaxed geometry, with properties calculated at the PBE-GGA level.

abc: 11.2956 4.4360 4.1287
angles: 90.00 111.08 90.00
Space group Cm (No. 8)
Inequivalent atoms, fractional coordinates:
P 0.0000 0.0000 0.0000
P 0.1159 0.5000 0.8355
P 0.3098 0.0000 0.5749
Ir 0.1043 0.0000 0.5999
Ir 0.4709 0.0000 0.1551
Au 0.3279 0.5000 0.3206

Values from the calculation:
* DFT total energy: -38.26 eV per formula unit
* density of states at the Fermi level: 0.403 states/eV/atom
* excess energy over the best structure of this formula in the dataset: 0.55 eV per formula unit
* magnetization: 0.000 μB per formula unit
* crystal system: monoclinic
* calculated formation energy: -172 meV per atom

[7]
Below is crystalline Tb3Th2PaP6 at its relaxed geometry, with properties calculated at the PBE-GGA level.

abc: 17.6493 4.0644 8.0896
angles: 90.00 102.93 90.00
Space group C2/m (No. 12)
Inequivalent atoms, fractional coordinates:
Tb 0.0000 0.0000 0.0000
Tb 0.1680 0.5000 0.3336
Th 0.1665 0.5000 0.8343
Pa 0.0000 0.0000 0.5000
P 0.0021 0.5000 0.2574
P 0.1640 0.0000 0.5775
P 0.1650 0.0000 0.0875

Values from the calculation:
* DFT total energy: -89.17 eV per formula unit
* density of states at the Fermi level: 0.529 states/eV/atom
* magnetization: 0.000 μB per formula unit
* crystal system: monoclinic
* calculated formation energy: -1541 meV per atom

[8]
Below is crystalline LaThMg2 at its relaxed geometry, with properties calculated at the PBE-GGA level.

abc: 3.3927 3.3927 35.5713
angles: 90.00 90.00 120.00
Space group R-3m (No. 166, hexagonal axes)
Inequivalent atoms, fractional coordinates:
La 0.0000 0.0000 0.0000
Th 0.0000 0.0000 0.5000
Mg 0.0000 0.0000 0.2493

Values from the calculation:
* DFT total energy: -15.23 eV per formula unit
* density of states at the Fermi level: 1.385 states/eV/atom
* excess energy over the best structure of this formula in the dataset: 0.35 eV per formula unit
* magnetization: 0.013 μB per formula unit
* crystal system: trigonal
* calculated formation energy: 76 meV per atom